A geometry-optimized Nd4SiTe2Cl2 structure, computed with PBE.

Values from the calculation:
- E (eV/cell) = -47.16
- energy relative to the elements, uncorrected (eV/atom) = -1.41
- density of states at the Fermi level (states/eV per cell) = 1.81
- size of the total moment (μB per atom) = 0.000
- crystal system = monoclinic

a = 4.3119 Å, b = 9.2774 Å, c = 8.7206 Å
α = 123.23°, β = 90.00°, γ = 103.44°
Last column: nearest neighbours and their distance in Å.
Element x y z (fractional)
1 Nd 0.1970 0.3941 0.2008  1 Si 2.95, 3 Cl 3.01-3.24, 2 Te 3.19
2 Nd 0.8030 0.6059 0.7992  1 Si 2.95, 3 Cl 3.01-3.24, 2 Te 3.19
3 Nd 0.4827 0.9653 0.7598  1 Cl 2.78, 2 Si 2.90
4 Nd 0.5173 0.0347 0.2402  1 Cl 2.78, 2 Si 2.90
5 Si 0.0000 0.0000 0.0000  6 Nd 2.90-2.95
6 Cl 0.6670 0.3341 0.9303  3 Nd 2.78-3.01
7 Cl 0.3330 0.6659 0.0697  3 Nd 2.78-3.01
8 Te 0.1566 0.3132 0.5288  5 Nd 3.19-3.33
9 Te 0.8434 0.6868 0.4712  5 Nd 3.19-3.33